TmCu2Ni6, optimized geometry, DFT PBE; total DFT energy (no corrections) = -46.501 eV for the cell shown; density of states at the Fermi level = 15.0 states/eV/cell; space group = No. 71; energy of formation = 82.1 kJ/mol of formula units
1.0
-1.370 3.417 6.206
1.370 -3.417 6.206
1.370 3.417 -6.206
Tm Cu Ni
1 2 6
direct
0.000 0.000 0.000
0.353 0.853 0.500
0.647 0.147 0.500
0.004 0.322 0.682
0.331 0.500 0.831
0.359 0.678 0.682
0.641 0.322 0.318
0.669 0.500 0.169
0.996 0.678 0.318